{
  "formula": "Ga2Os",
  "functional": "PBEsol",
  "state": "optimized geometry",
  "lattice_angstrom": [[0.0000, 4.1026, 4.3486], [2.3554, 0.0000, 4.3486], [2.3554, 4.1026, 0.0000]],
  "species": ["Ga", "Ga", "Ga", "Ga", "Os", "Os"],
  "fractional_positions": [[0.0423, 0.7077, 0.0423], [0.2923, 0.9577, 0.2923], [0.7077, 0.0423, 0.7077], [0.9577, 0.2923, 0.9577], [0.3750, 0.3750, 0.3750], [0.6250, 0.6250, 0.6250]],
  "final_energy_ev_per_atom": -6.52,
  "space_group": "Fddd"
}